No. 1
A plane-wave DFT calculation with PBE was carried out for a relaxed structure of LuPdW.

It has space group F-43m (No. 216), with a = 6.4398 Å, b = 6.4398 Å, c = 6.4398 Å, α = 90.00°, β = 90.00° and γ = 90.00°. The asymmetric unit holds Lu at (0.0000, 0.0000, 0.0000), Pd at (0.2500, 0.2500, 0.7500) and W at (0.2500, 0.2500, 0.2500).

The formation energy comes out at 1.150 eV/atom. The value obtained for the density is 11.571 g/cm3. For the volume, the calculation gives 22.26 Å³/atom. As for the size of the total moment: 2.8 μB/f.u. As for the total energy: -6.40 eV/atom.

---

No. 2
A plane-wave DFT calculation with PBE was carried out for a relaxed structure of LuPdW.

It has space group F-43m (No. 216), with a = 6.3542 Å, b = 6.3542 Å, c = 6.3542 Å, α = 90.00°, β = 90.00° and γ = 90.00°. The asymmetric unit holds Lu at (0.0000, 0.0000, 0.0000), Pd at (0.0000, 0.0000, 0.5000) and W at (0.2500, 0.2500, 0.2500).

The formation energy comes out at 0.838 eV/atom. The value obtained for the density is 12.044 g/cm3. For the volume, the calculation gives 21.38 Å³/atom. As for the size of the total moment: 1.1 μB/f.u. As for the total energy: -6.71 eV/atom.